Entry 1:
# Tb3PrHo3Te8 (PBE, optimized geometry)
data_Tb3PrHo3Te8
_space_group_name_H-M_alt 'R -3 m'
_space_group_IT_number 166
_space_group_name_Hall '-R 3 2"'
_cell_length_a 8.6967
_cell_length_b 8.6967
_cell_length_c 21.2744
_cell_angle_alpha 90.00
_cell_angle_beta 90.00
_cell_angle_gamma 120.00
loop_
_atom_site_label
_atom_site_type_symbol
_atom_site_fract_x
_atom_site_fract_y
_atom_site_fract_z
_atom_site_occupancy
Tb1 Tb 0.0000 0.5000 0.0000 1
Pr1 Pr 0.0000 0.0000 0.5000 1
Ho1 Ho 0.0000 0.5000 0.5000 1
Te1 Te 0.0000 0.0000 0.2490 1
Te2 Te 0.0181 0.5091 0.7465 1
# Density of states at the Fermi level = 6.6 states/eV/f.u.
# Total DFT energy (no corrections) = -5.21 eV/atom



Entry 2:
# TbPr2Ho3Te6 (PBE, optimized geometry)
data_TbPr2Ho3Te6
_space_group_name_H-M_alt 'C 1 2/m 1'
_space_group_IT_number 12
_space_group_name_Hall '-C 2y'
_cell_length_a 19.3257
_cell_length_b 4.3589
_cell_length_c 8.9130
_cell_angle_alpha 90.00
_cell_angle_beta 104.52
_cell_angle_gamma 90.00
loop_
_atom_site_label
_atom_site_type_symbol
_atom_site_fract_x
_atom_site_fract_y
_atom_site_fract_z
_atom_site_occupancy
Tb1 Tb 0.0000 0.0000 0.0000 1
Pr1 Pr 0.1693 0.5000 0.3374 1
Ho1 Ho 0.0000 0.0000 0.5000 1
Ho2 Ho 0.1717 0.5000 0.8360 1
Te1 Te 0.0046 0.5000 0.7503 1
Te2 Te 0.1616 0.0000 0.5931 1
Te3 Te 0.1649 0.0000 0.0725 1
# Density of states at the Fermi level = 6.3 states/eV/f.u.
# Total DFT energy (no corrections) = -5.22 eV/atom



Entry 3:
# Tb3Pr2HoTe6 (PBE, optimized geometry)
data_Tb3Pr2HoTe6
_space_group_name_H-M_alt 'C 1 2/m 1'
_space_group_IT_number 12
_space_group_name_Hall '-C 2y'
_cell_length_a 19.2974
_cell_length_b 4.3818
_cell_length_c 8.9083
_cell_angle_alpha 90.00
_cell_angle_beta 103.24
_cell_angle_gamma 90.00
loop_
_atom_site_label
_atom_site_type_symbol
_atom_site_fract_x
_atom_site_fract_y
_atom_site_fract_z
_atom_site_occupancy
Tb1 Tb 0.0000 0.0000 0.0000 1
Tb2 Tb 0.1735 0.5000 0.3354 1
Pr1 Pr 0.1703 0.5000 0.8372 1
Ho1 Ho 0.0000 0.0000 0.5000 1
Te1 Te 0.0041 0.5000 0.2547 1
Te2 Te 0.1617 0.0000 0.0903 1
Te3 Te 0.1624 0.0000 0.5727 1
# Density of states at the Fermi level = 6.8 states/eV/f.u.
# Total DFT energy (no corrections) = -5.25 eV/atom



Entry 4:
# TbPr2HoTe6 (PBE, optimized geometry)
data_TbPr2HoTe6
_space_group_name_H-M_alt 'R 3'
_space_group_IT_number 146
_space_group_name_Hall 'R 3'
_cell_length_a 7.8763
_cell_length_b 7.8763
_cell_length_c 21.2442
_cell_angle_alpha 90.00
_cell_angle_beta 90.00
_cell_angle_gamma 120.00
loop_
_atom_site_label
_atom_site_type_symbol
_atom_site_fract_x
_atom_site_fract_y
_atom_site_fract_z
_atom_site_occupancy
Tb1 Tb 0.0000 0.0000 0.0000 1
Pr1 Pr 0.0000 0.0000 0.3089 1
Pr2 Pr 0.0000 0.0000 0.8087 1
Ho1 Ho 0.0000 0.0000 0.5001 1
Te1 Te 0.0347 0.6880 0.5756 1
Te2 Te 0.0365 0.3488 0.0764 1
# Total DFT energy (no corrections) = -5.13 eV/atom



Entry 5:
# Tb2PrHo3Te6 (PBE, optimized geometry)
data_Tb2PrHo3Te6
_space_group_name_H-M_alt 'C 1 2/m 1'
_space_group_IT_number 12
_space_group_name_Hall '-C 2y'
_cell_length_a 19.1397
_cell_length_b 4.3484
_cell_length_c 8.8284
_cell_angle_alpha 90.00
_cell_angle_beta 103.74
_cell_angle_gamma 90.00
loop_
_atom_site_label
_atom_site_type_symbol
_atom_site_fract_x
_atom_site_fract_y
_atom_site_fract_z
_atom_site_occupancy
Tb1 Tb 0.1641 0.0000 0.3286 1
Pr1 Pr 0.0000 0.5000 0.0000 1
Ho1 Ho 0.0000 0.5000 0.5000 1
Ho2 Ho 0.1618 0.0000 0.8322 1
Te1 Te 0.0004 0.0000 0.2613 1
Te2 Te 0.1672 0.5000 0.5848 1
Te3 Te 0.1726 0.5000 0.0832 1
# Density of states at the Fermi level = 6.5 states/eV/f.u.
# Total DFT energy (no corrections) = -5.19 eV/atom



Entry 6:
# Tb3PrHo2Te6 (PBE, optimized geometry)
data_Tb3PrHo2Te6
_space_group_name_H-M_alt 'C 1 2/m 1'
_space_group_IT_number 12
_space_group_name_Hall '-C 2y'
_cell_length_a 19.0806
_cell_length_b 4.3562
_cell_length_c 8.8350
_cell_angle_alpha 90.00
_cell_angle_beta 102.51
_cell_angle_gamma 90.00
loop_
_atom_site_label
_atom_site_type_symbol
_atom_site_fract_x
_atom_site_fract_y
_atom_site_fract_z
_atom_site_occupancy
Tb1 Tb 0.0000 0.0000 0.0000 1
Tb2 Tb 0.1597 0.5000 0.3339 1
Pr1 Pr 0.0000 0.0000 0.5000 1
Ho1 Ho 0.1640 0.5000 0.8302 1
Te1 Te 0.0029 0.5000 0.7603 1
Te2 Te 0.1687 0.0000 0.0829 1
Te3 Te 0.1729 0.0000 0.5894 1
# Density of states at the Fermi level = 6.8 states/eV/f.u.
# Total DFT energy (no corrections) = -5.20 eV/atom



Entry 7:
# Tb2Pr3HoTe6 (PBE, optimized geometry)
data_Tb2Pr3HoTe6
_space_group_name_H-M_alt 'C 1 2/m 1'
_space_group_IT_number 12
_space_group_name_Hall '-C 2y'
_cell_length_a 19.5013
_cell_length_b 4.3917
_cell_length_c 9.0091
_cell_angle_alpha 90.00
_cell_angle_beta 104.85
_cell_angle_gamma 90.00
loop_
_atom_site_label
_atom_site_type_symbol
_atom_site_fract_x
_atom_site_fract_y
_atom_site_fract_z
_atom_site_occupancy
Tb1 Tb 0.1675 0.0000 0.3342 1
Pr1 Pr 0.0000 0.5000 0.5000 1
Pr2 Pr 0.1679 0.0000 0.8333 1
Ho1 Ho 0.0000 0.5000 0.0000 1
Te1 Te 0.0026 0.0000 0.2402 1
Te2 Te 0.1623 0.5000 0.0898 1
Te3 Te 0.1692 0.5000 0.5757 1
# Density of states at the Fermi level = 6.0 states/eV/f.u.
# Total DFT energy (no corrections) = -5.29 eV/atom



Entry 8:
# TbPr2HoTe5 (PBE, optimized geometry)
data_TbPr2HoTe5
_space_group_name_H-M_alt 'P 4/m m m'
_space_group_IT_number 123
_space_group_name_Hall '-P 4 2'
_cell_length_a 5.5667
_cell_length_b 5.5667
_cell_length_c 11.5636
_cell_angle_alpha 90.00
_cell_angle_beta 90.00
_cell_angle_gamma 90.00
loop_
_atom_site_label
_atom_site_type_symbol
_atom_site_fract_x
_atom_site_fract_y
_atom_site_fract_z
_atom_site_occupancy
Tb1 Tb 0.0000 0.0000 0.0000 1
Pr1 Pr 0.5000 0.5000 0.1650 1
Ho1 Ho 0.0000 0.0000 0.5000 1
Te1 Te 0.0000 0.0000 0.2558 1
Te2 Te 0.0000 0.5000 0.0000 1
Te3 Te 0.5000 0.5000 0.5000 1
# Density of states at the Fermi level = 5.2 states/eV/f.u.
# Total DFT energy (no corrections) = -4.64 eV/atom



Entry 9:
# TbPr4Ho3Te8 (PBE, optimized geometry)
data_TbPr4Ho3Te8
_space_group_name_H-M_alt 'R -3 m'
_space_group_IT_number 166
_space_group_name_Hall '-R 3 2"'
_cell_length_a 8.7581
_cell_length_b 8.7581
_cell_length_c 22.3490
_cell_angle_alpha 90.00
_cell_angle_beta 90.00
_cell_angle_gamma 120.00
loop_
_atom_site_label
_atom_site_type_symbol
_atom_site_fract_x
_atom_site_fract_y
_atom_site_fract_z
_atom_site_occupancy
Tb1 Tb 0.0000 0.0000 0.0000 1
Pr1 Pr 0.0000 0.0000 0.5000 1
Pr2 Pr 0.0000 0.5000 0.5000 1
Ho1 Ho 0.0000 0.5000 0.0000 1
Te1 Te 0.0000 0.0000 0.2556 1
Te2 Te 0.0016 0.5008 0.2553 1
# Density of states at the Fermi level = 10.8 states/eV/f.u.
# Total DFT energy (no corrections) = -5.27 eV/atom



Entry 10:
# Tb3Pr6Ho2Th (PBE, optimized geometry)
data_Tb3Pr6Ho2Th
_space_group_name_H-M_alt 'C 1 2/m 1'
_space_group_IT_number 12
_space_group_name_Hall '-C 2y'
_cell_length_a 6.3070
_cell_length_b 10.9150
_cell_length_c 12.0046
_cell_angle_alpha 90.00
_cell_angle_beta 100.10
_cell_angle_gamma 90.00
loop_
_atom_site_label
_atom_site_type_symbol
_atom_site_fract_x
_atom_site_fract_y
_atom_site_fract_z
_atom_site_occupancy
Tb1 Tb 0.0000 0.0000 0.0000 1
Tb2 Tb 0.0000 0.3333 0.0000 1
Pr1 Pr 0.2466 0.5000 0.2515 1
Pr2 Pr 0.2483 0.3350 0.7489 1
Ho1 Ho 0.0000 0.1666 0.5000 1
Th1 Th 0.0000 0.5000 0.5000 1
# Density of states at the Fermi level = 16.3 states/eV/f.u.
# Formation enthalpy at 0 K = 0.033 eV per atom



Entry 11:
# Tb5PrHoTh2 (PBE, optimized geometry)
data_Tb5PrHoTh2
_space_group_name_H-M_alt 'I 4/m c m'
_space_group_IT_number 140
_space_group_name_Hall '-I 4 2c'
_cell_length_a 8.9132
_cell_length_b 8.9132
_cell_length_c 15.2651
_cell_angle_alpha 90.00
_cell_angle_beta 90.00
_cell_angle_gamma 90.00
loop_
_atom_site_label
_atom_site_type_symbol
_atom_site_fract_x
_atom_site_fract_y
_atom_site_fract_z
_atom_site_occupancy
Tb1 Tb 0.0000 0.0000 0.0000 1
Tb2 Tb 0.2078 0.2922 0.1369 1
Pr1 Pr 0.0000 0.0000 0.2500 1
Ho1 Ho 0.0000 0.5000 0.2500 1
Th1 Th 0.1186 0.3814 0.5000 1
# Density of states at the Fermi level = 12.9 states/eV/f.u.
# Formation enthalpy at 0 K = 0.331 eV per atom



Entry 12:
# Tb2Pr6HoTh (PBE, optimized geometry)
data_Tb2Pr6HoTh
_space_group_name_H-M_alt 'C 1 2/c 1'
_space_group_IT_number 15
_space_group_name_Hall '-C 2yc'
_cell_length_a 9.3879
_cell_length_b 15.1539
_cell_length_c 9.8880
_cell_angle_alpha 90.00
_cell_angle_beta 98.75
_cell_angle_gamma 90.00
loop_
_atom_site_label
_atom_site_type_symbol
_atom_site_fract_x
_atom_site_fract_y
_atom_site_fract_z
_atom_site_occupancy
Tb1 Tb 0.2424 0.0449 0.0496 1
Pr1 Pr 0.0677 0.1764 0.4438 1
Pr2 Pr 0.0955 0.3953 0.6190 1
Pr3 Pr 0.2080 0.2170 0.8114 1
Ho1 Ho 0.0000 0.4077 0.2500 1
Th1 Th 0.0000 0.0261 0.7500 1
# Density of states at the Fermi level = 14.4 states/eV/f.u.
# Formation enthalpy at 0 K = 0.142 eV per atom